# NaPuHg

NaPuHg after structural relaxation (GGA-PBE, OQMD).

- space-group type = F-43m
- E (eV per atom) = -4.78
- crystal system = cubic

a = 5.2029 Å, b = 5.2029 Å, c = 5.2029 Å
α = 60.00°, β = 60.00°, γ = 60.00°
Element x y z (fractional)
Na 0.0000 0.0000 0.0000
Pu 0.7500 0.7500 0.7500
Hg 0.5000 0.5000 0.5000